Record 1
Entry from Alexandria via LeMat-Bulk: a relaxed HoAl4Ag crystal (PBE).

```
HoAl4Ag
1.0
2.113 -6.139 0.000
2.113 6.139 0.000
0.000 0.000 4.388
Ho Al Ag
1 4 1
direct
0.000 0.000 0.000
0.171 0.829 0.500
0.319 0.681 0.000
0.681 0.319 0.000
0.829 0.171 0.500
0.500 0.500 0.500
```

## Properties
- Energy relative to the lowest polymorph listed for this composition: 0.000 eV per atom
- Spin magnetization: 0.000 μB/cell
- Theoretical density: 5.55 g/cm³
- E_form: -15.4 kJ/mol of atoms

=====

Record 2
Entry from Alexandria via LeMat-Bulk: a relaxed LaTl2Au crystal (PBE).

```
LaTl2Au
1.0
3.729 0.000 0.000
0.000 3.729 0.000
0.000 0.000 7.582
La Tl Au
1 2 1
direct
0.000 0.000 0.000
0.500 0.500 0.285
0.500 0.500 0.715
0.000 0.000 0.500
```

## Properties
- Energy relative to the lowest polymorph listed for this composition: 0.270 eV per atom
- Spin magnetization: 0.000 μB/cell
- Theoretical density: 11.73 g/cm³
- E_form: -20.4 kJ/mol of atoms